Density functional theory data (GGA-PBE) for a relaxed Ba2Li2Tl crystal.

abc: 9.779 9.779 4.433
angles: 90.00 90.00 90.00
Sites, in units of the cell vectors:
Ba (0.671, 0.171, 0.000)
Ba (0.171, 0.329, 0.000)
Tl (0.500, 0.500, 0.000)
Li (0.619, 0.881, 0.500)
Ba (0.829, 0.671, 0.000)
Li (0.381, 0.119, 0.500)
Li (0.881, 0.381, 0.500)
Tl (0.000, 0.000, 0.000)
Li (0.119, 0.619, 0.500)
Ba (0.329, 0.829, 0.000)

Values from the calculation:
offset from the most stable computed form: 0.268 eV/atom
energy relative to the elements: 95 meV per atom
N(E_F): 1.5111 states/eV/atom
uncorrected energy: -9.566 eV per formula unit